Entry 1:
The following is a PBE calculation of crystalline BaMgHgBi2 at its relaxed geometry, from OQMD via LeMat-Bulk.

Geometry as POSCAR:
```
BaMgHgBi2
1.0
4.945 0.000 0.000
-2.472 4.282 0.000
0.000 0.000 8.261
Ba Mg Hg Bi
1 1 1 2
Direct
0.000 0.000 0.000
0.333 0.667 0.623
0.667 0.333 0.370
0.333 0.667 0.262
0.667 0.333 0.743
```

Values from the calculation:
space-group type: P3m1
mass density: 7.41 g/cm3
E_tot: -2.839 eV per atom


Entry 2:
The following is a PBE calculation of crystalline SmNpCo at its relaxed geometry, from OQMD via LeMat-Bulk.

Geometry as POSCAR:
```
SmNpCo
1.0
0.000 3.284 3.284
3.284 0.000 3.284
3.284 3.284 0.000
Sm Np Co
1 1 1
Direct
0.000 0.000 0.000
0.500 0.500 0.500
0.750 0.750 0.750
```

Values from the calculation:
formation enthalpy at 0 K: 0.357 eV/atom
E above lowest polymorph: 0.000 eV per atom
space-group type: F-43m
mass density: 10.46 g/cm3
E_tot: -7.838 eV per atom


Entry 3:
The following is a PBE calculation of crystalline LiTaNO at its relaxed geometry, from OQMD via LeMat-Bulk.

Geometry as POSCAR:
```
LiTaNO
1.0
4.228 0.000 0.000
0.000 3.792 0.000
0.000 0.000 5.440
Li Ta N O
2 2 2 2
Direct
0.250 0.000 0.157
0.750 0.000 0.843
0.250 0.500 0.672
0.750 0.500 0.328
0.250 0.500 0.301
0.750 0.500 0.699
0.250 0.000 0.795
0.750 0.000 0.205
```

Values from the calculation:
E above lowest polymorph: 0.130 eV per atom
space-group type: Pmma
mass density: 8.30 g/cm3
E_tot: -8.408 eV per atom


Entry 4:
The following is a PBE calculation of crystalline Li2Ni4Ge at its relaxed geometry, from OQMD via LeMat-Bulk.

Geometry as POSCAR:
```
Li2Ni4Ge
1.0
4.077 -2.527 0.000
4.077 2.527 0.000
-1.299 0.000 3.991
Li Ni Ge
2 4 1
Direct
0.105 0.105 0.215
0.895 0.895 0.785
0.097 0.606 0.290
0.394 0.903 0.710
0.606 0.097 0.290
0.903 0.394 0.710
0.500 0.500 0.000
```

Values from the calculation:
space-group type: C2/m
mass density: 6.49 g/cm3
E_tot: -4.313 eV per atom


Entry 5:
The following is a PBE calculation of crystalline Pm2Si3Au6 at its relaxed geometry, from OQMD via LeMat-Bulk.

Geometry as POSCAR:
```
Pm2Si3Au6
1.0
7.676 0.000 0.000
-3.838 6.647 0.000
0.000 0.000 4.366
Pm Si Au
2 3 6
Direct
0.333 0.667 0.000
0.667 0.333 0.000
0.000 0.645 0.500
0.355 0.355 0.500
0.645 0.000 0.500
0.000 0.328 0.500
0.000 0.786 0.000
0.214 0.214 0.000
0.328 0.000 0.500
0.672 0.672 0.500
0.786 0.000 0.000
```

Values from the calculation:
space-group type: P-62m
mass density: 11.60 g/cm3
E_tot: -4.685 eV per atom


Entry 6:
The following is a PBE calculation of crystalline CuSnIr at its relaxed geometry, from OQMD via LeMat-Bulk.

Geometry as POSCAR:
```
CuSnIr
1.0
0.000 3.043 3.043
3.043 0.000 3.043
3.043 3.043 0.000
Cu Sn Ir
1 1 1
Direct
0.000 0.000 0.000
0.500 0.500 0.500
0.250 0.250 0.250
```

Values from the calculation:
E above lowest polymorph: 0.000 eV per atom
space-group type: F-43m
mass density: 11.04 g/cm3
E_tot: -5.534 eV per atom


Entry 7:
The following is a PBE calculation of crystalline RbNbGa at its relaxed geometry, from OQMD via LeMat-Bulk.

Geometry as POSCAR:
```
RbNbGa
1.0
0.000 3.882 3.882
3.882 0.000 3.882
3.882 3.882 0.000
Rb Nb Ga
1 1 1
Direct
0.000 0.000 0.000
0.250 0.250 0.250
0.750 0.750 0.750
```

Values from the calculation:
E above lowest polymorph: 0.587 eV per atom
space-group type: F-43m
mass density: 3.52 g/cm3
E_tot: -2.676 eV per atom


Entry 8:
The following is a PBE calculation of crystalline PrTmNO at its relaxed geometry, from OQMD via LeMat-Bulk.

Geometry as POSCAR:
```
PrTmNO
1.0
4.036 0.000 0.000
0.000 7.022 0.000
0.000 0.000 4.957
Pr Tm N O
2 2 2 2
Direct
0.000 0.164 0.000
0.000 0.836 0.500
0.500 0.337 0.500
0.500 0.663 0.000
0.500 0.349 0.998
0.500 0.651 0.498
0.000 0.202 0.501
0.000 0.798 0.001
```

Values from the calculation:
E above lowest polymorph: 0.000 eV per atom
space-group type: Pmc2_1
mass density: 8.03 g/cm3
E_tot: -7.779 eV per atom


Entry 9:
The following is a PBE calculation of crystalline Pm4NdTe5 at its relaxed geometry, from OQMD via LeMat-Bulk.

Geometry as POSCAR:
```
Pm4NdTe5
1.0
-2.231 2.231 15.860
2.231 -2.231 15.860
2.231 2.231 -15.860
Pm Nd Te
4 1 5
Direct
0.098 0.098 0.000
0.296 0.296 0.000
0.704 0.704 0.000
0.902 0.902 0.000
0.500 0.500 0.000
0.000 0.000 0.000
0.198 0.198 0.000
0.398 0.398 0.000
0.602 0.602 0.000
0.802 0.802 0.000
```

Values from the calculation:
space-group type: I4/mmm
mass density: 7.17 g/cm3
E_tot: -5.358 eV per atom


Entry 10:
The following is a PBE calculation of crystalline ErZnCu at its relaxed geometry, from OQMD via LeMat-Bulk.

Geometry as POSCAR:
```
ErZnCu
1.0
0.000 3.130 3.130
3.130 0.000 3.130
3.130 3.130 0.000
Er Zn Cu
1 1 1
Direct
0.000 0.000 0.000
0.500 0.500 0.500
0.250 0.250 0.250
```

Values from the calculation:
formation enthalpy at 0 K: -0.136 eV/atom
space-group type: F-43m
mass density: 8.02 g/cm3
E_tot: -3.318 eV per atom


Entry 11:
The following is a PBE calculation of crystalline InSn5Ir3 at its relaxed geometry, from OQMD via LeMat-Bulk.

Geometry as POSCAR:
```
InSn5Ir3
1.0
5.584 0.000 0.000
-2.792 4.836 0.000
0.000 0.000 7.761
In Sn Ir
1 5 3
Direct
0.000 0.000 0.000
0.000 0.000 0.500
0.333 0.667 0.210
0.333 0.667 0.790
0.667 0.333 0.210
0.667 0.333 0.790
0.000 0.500 0.500
0.500 0.000 0.500
0.500 0.500 0.500
```

Values from the calculation:
space-group type: P6/mmm
mass density: 10.18 g/cm3
E_tot: -5.521 eV per atom


Entry 12:
The following is a PBE calculation of crystalline MgBeMo2 at its relaxed geometry, from OQMD via LeMat-Bulk.

Geometry as POSCAR:
```
MgBeMo2
1.0
0.000 3.091 3.091
3.091 0.000 3.091
3.091 3.091 0.000
Mg Be Mo
1 1 2
Direct
0.000 0.000 0.000
0.750 0.750 0.750
0.250 0.250 0.250
0.500 0.500 0.500
```

Values from the calculation:
space-group type: F-43m
mass density: 6.33 g/cm3
E_tot: -6.428 eV per atom


Entry 13:
The following is a PBE calculation of crystalline UOs at its relaxed geometry, from OQMD via LeMat-Bulk.

Geometry as POSCAR:
```
UOs
1.0
3.058 0.000 0.000
-1.529 2.648 0.000
0.000 0.000 4.579
U Os
1 1
Direct
0.000 0.000 0.000
0.333 0.667 0.500
```

Values from the calculation:
formation enthalpy at 0 K: 0.307 eV/atom
space-group type: P-6m2
mass density: 19.18 g/cm3
E_tot: -10.954 eV per atom


Entry 14:
The following is a PBE calculation of crystalline Dy2SnAu2 at its relaxed geometry, from OQMD via LeMat-Bulk.

Geometry as POSCAR:
```
Dy2SnAu2
1.0
7.904 0.000 0.000
0.000 7.904 0.000
0.000 0.000 7.543
Dy Sn Au
8 4 8
Direct
0.162 0.162 0.000
0.178 0.178 0.500
0.322 0.678 0.000
0.338 0.662 0.500
0.662 0.338 0.500
0.678 0.322 0.000
0.822 0.822 0.500
0.838 0.838 0.000
0.000 0.500 0.250
0.000 0.500 0.750
0.500 0.000 0.250
0.500 0.000 0.750
0.128 0.872 0.266
0.128 0.872 0.734
0.372 0.372 0.234
0.372 0.372 0.766
0.628 0.628 0.234
0.628 0.628 0.766
0.872 0.128 0.266
0.872 0.128 0.734
```

Values from the calculation:
space-group type: P4_2/mnm
mass density: 11.81 g/cm3
E_tot: -4.801 eV per atom


Entry 15:
The following is a PBE calculation of crystalline HfNbCd at its relaxed geometry, from OQMD via LeMat-Bulk.

Geometry as POSCAR:
```
HfNbCd
1.0
0.000 3.257 3.257
3.257 0.000 3.257
3.257 3.257 0.000
Hf Nb Cd
1 1 1
Direct
0.000 0.000 0.000
0.500 0.500 0.500
0.250 0.250 0.250
```

Values from the calculation:
formation enthalpy at 0 K: 0.817 eV/atom
E above lowest polymorph: 0.000 eV per atom
space-group type: F-43m
mass density: 9.22 g/cm3
E_tot: -6.165 eV per atom


Entry 16:
The following is a PBE calculation of crystalline Zr4CdAsN2 at its relaxed geometry, from OQMD via LeMat-Bulk.

Geometry as POSCAR:
```
Zr4CdAsN2
1.0
3.375 0.000 0.000
-1.687 2.923 0.000
0.000 0.000 13.614
Zr Cd As N
4 1 1 2
Direct
0.000 0.000 0.141
0.000 0.000 0.859
0.667 0.333 0.320
0.667 0.333 0.680
0.000 0.000 0.500
0.667 0.333 0.000
0.333 0.667 0.235
0.333 0.667 0.765
```

Values from the calculation:
space-group type: P-6m2
mass density: 7.17 g/cm3
E_tot: -8.193 eV per atom


Entry 17:
The following is a PBE calculation of crystalline ZnAgTeO at its relaxed geometry, from OQMD via LeMat-Bulk.

Geometry as POSCAR:
```
ZnAgTeO
1.0
5.989 0.000 0.000
0.000 15.387 0.000
0.000 0.000 6.297
Zn Ag Te O
8 8 8 8
Direct
0.041 0.233 0.107
0.041 0.267 0.607
0.459 0.733 0.107
0.459 0.767 0.607
0.541 0.233 0.393
0.541 0.267 0.893
0.959 0.733 0.393
0.959 0.767 0.893
0.211 0.595 0.666
0.211 0.905 0.166
0.289 0.095 0.666
0.289 0.405 0.166
0.711 0.595 0.834
0.711 0.905 0.334
0.789 0.095 0.834
0.789 0.405 0.334
0.014 0.567 0.234
0.014 0.933 0.734
0.486 0.067 0.234
0.486 0.433 0.734
0.514 0.567 0.266
0.514 0.933 0.766
0.986 0.067 0.266
0.986 0.433 0.766
0.230 0.225 0.850
0.230 0.275 0.350
0.270 0.725 0.850
0.270 0.775 0.350
0.730 0.225 0.650
0.730 0.275 0.150
0.770 0.725 0.650
0.770 0.775 0.150
```

Values from the calculation:
E above lowest polymorph: 0.066 eV per atom
space-group type: Pbca
mass density: 7.25 g/cm3
E_tot: -3.549 eV per atom


Entry 18:
The following is a PBE calculation of crystalline Na2Sc2Sn2PdPt at its relaxed geometry, from OQMD via LeMat-Bulk.

Geometry as POSCAR:
```
Na2Sc2Sn2PdPt
1.0
4.743 0.000 0.000
0.000 4.743 0.000
0.000 0.000 6.710
Na Sc Sn Pd Pt
2 2 2 1 1
Direct
0.000 0.000 0.000
0.500 0.500 0.500
0.000 0.500 0.748
0.500 0.000 0.252
0.000 0.500 0.248
0.500 0.000 0.752
0.500 0.500 0.000
0.000 0.000 0.500
```

Values from the calculation:
space-group type: P-4m2
mass density: 7.42 g/cm3
E_tot: -4.898 eV per atom


Entry 19:
The following is a PBE calculation of crystalline BaHfOs2 at its relaxed geometry, from OQMD via LeMat-Bulk.

Geometry as POSCAR:
```
BaHfOs2
1.0
0.000 3.392 3.392
3.392 0.000 3.392
3.392 3.392 0.000
Ba Hf Os
1 1 2
Direct
0.000 0.000 0.000
0.250 0.250 0.250
0.500 0.500 0.500
0.750 0.750 0.750
```

Values from the calculation:
space-group type: F-43m
mass density: 14.81 g/cm3
E_tot: -7.590 eV per atom


Entry 20:
The following is a PBE calculation of crystalline Tb2PrMg3Pt3 at its relaxed geometry, from OQMD via LeMat-Bulk.

Geometry as POSCAR:
```
Tb2PrMg3Pt3
1.0
4.099 0.000 0.000
0.000 6.455 3.720
0.000 -6.455 3.720
Tb Pr Mg Pt
2 1 3 3
Direct
0.000 0.205 0.795
0.000 0.795 0.205
0.000 0.381 0.381
0.500 0.036 0.036
0.500 0.552 0.798
0.500 0.798 0.552
0.000 0.801 0.801
0.500 0.122 0.464
0.500 0.464 0.122
```

Values from the calculation:
space-group type: Amm2
mass density: 9.42 g/cm3
E_tot: -5.026 eV per atom


Entry 21:
The following is a PBE calculation of crystalline NbSe2SN2ClF6 at its relaxed geometry, from OQMD via LeMat-Bulk.

Geometry as POSCAR:
```
NbSe2SN2ClF6
1.0
10.049 0.000 0.000
0.000 7.897 0.000
-6.366 0.000 11.114
Nb Se S N Cl F
4 8 4 8 4 24
Direct
0.226 0.185 0.318
0.226 0.315 0.818
0.774 0.685 0.182
0.774 0.815 0.682
0.307 0.675 0.522
0.307 0.825 0.022
0.325 0.588 0.146
0.325 0.912 0.646
0.675 0.088 0.354
0.675 0.412 0.854
0.693 0.175 0.978
0.693 0.325 0.478
0.039 0.726 0.548
0.039 0.774 0.048
0.961 0.226 0.952
0.961 0.274 0.452
0.123 0.615 0.499
0.123 0.885 0.999
0.134 0.611 0.118
0.134 0.889 0.618
0.866 0.111 0.382
0.866 0.389 0.882
0.877 0.115 0.001
0.877 0.385 0.501
0.467 0.697 0.334
0.467 0.803 0.834
0.533 0.197 0.166
0.533 0.303 0.666
0.014 0.243 0.240
0.014 0.257 0.740
0.197 0.536 0.750
0.197 0.964 0.250
0.212 0.093 0.452
0.212 0.407 0.952
0.244 0.228 0.685
0.244 0.272 0.185
0.281 0.095 0.895
0.281 0.405 0.395
0.449 0.139 0.405
0.449 0.361 0.905
0.551 0.639 0.095
0.551 0.861 0.595
0.719 0.595 0.605
0.719 0.905 0.105
0.756 0.728 0.815
0.756 0.772 0.315
0.788 0.593 0.048
0.788 0.907 0.548
0.803 0.036 0.750
0.803 0.464 0.250
0.986 0.743 0.260
0.986 0.757 0.760
```

Values from the calculation:
space-group type: P2_1/c
mass density: 3.47 g/cm3
E_tot: -5.343 eV per atom


Entry 22:
The following is a PBE calculation of crystalline SnPd2Au at its relaxed geometry, from OQMD via LeMat-Bulk.

Geometry as POSCAR:
```
SnPd2Au
1.0
0.000 3.257 3.257
3.257 0.000 3.257
3.257 3.257 0.000
Sn Pd Au
1 2 1
Direct
0.000 0.000 0.000
0.500 0.500 0.500
0.750 0.750 0.750
0.250 0.250 0.250
```

Values from the calculation:
space-group type: F-43m
mass density: 12.70 g/cm3
E_tot: -4.704 eV per atom


Entry 23:
The following is a PBE calculation of crystalline LiPmInAg at its relaxed geometry, from OQMD via LeMat-Bulk.

Geometry as POSCAR:
```
LiPmInAg
1.0
0.000 3.503 3.503
3.503 0.000 3.503
3.503 3.503 0.000
Li Pm In Ag
1 1 1 1
Direct
0.000 0.000 0.000
0.750 0.750 0.750
0.250 0.250 0.250
0.500 0.500 0.500
```

Values from the calculation:
space-group type: F-43m
mass density: 7.23 g/cm3
E_tot: -3.455 eV per atom